(1)
Below is crystalline Cd7PdAu12 at its relaxed geometry, with properties calculated at the PBE-GGA level.

Values from the calculation:
Total moment ... 0.0 μB per formula unit
Crystal system ... trigonal
Energy of formation ... -0.0915 eV/atom
DOS at the Fermi energy ... 7.803 states/eV/f.u.
Space-group type ... R-3

abc: 7.801 7.801 7.801
angles: 107.40 107.40 107.40
Sites, in units of the cell vectors:
Au 0.967 0.696 0.590
Au 0.336 0.645 0.757
Au 0.355 0.243 0.664
Au 0.033 0.304 0.410
Au 0.304 0.410 0.033
Au 0.757 0.336 0.645
Au 0.243 0.664 0.355
Au 0.696 0.590 0.967
Au 0.410 0.033 0.304
Au 0.645 0.757 0.336
Au 0.590 0.967 0.696
Au 0.664 0.355 0.243
Cd 0.675 0.969 0.100
Cd 0.500 0.500 0.500
Cd 0.900 0.325 0.031
Cd 0.969 0.100 0.675
Cd 0.100 0.675 0.969
Cd 0.325 0.031 0.900
Cd 0.031 0.900 0.325
Pd 0.000 0.000 0.000

---

(2)
Below is crystalline CdPd4Au5 at its relaxed geometry, with properties calculated at the PBE-GGA level.

Values from the calculation:
Total moment ... 0.0 μB per formula unit
Crystal system ... orthorhombic
Energy of formation ... -0.0070 eV/atom
DOS at the Fermi energy ... 2.631 states/eV/f.u.
Energy relative to the lowest polymorph listed for this composition ... 153 meV per atom
Space-group type ... Pmmn

abc: 4.891 9.377 8.288
angles: 90.00 90.00 90.00
Sites, in units of the cell vectors:
Pd 0.246 0.248 0.000
Pd 0.086 0.500 0.180
Pd 0.086 0.500 0.820
Pd 0.246 0.752 0.000
Pd 0.754 0.252 0.500
Pd 0.914 0.000 0.320
Pd 0.754 0.748 0.500
Pd 0.914 0.000 0.680
Au 0.251 0.753 0.331
Au 0.749 0.253 0.831
Au 0.251 0.247 0.331
Au 0.749 0.747 0.169
Au 0.749 0.253 0.169
Au 0.574 0.500 0.000
Au 0.251 0.753 0.669
Au 0.251 0.247 0.669
Au 0.426 0.000 0.500
Au 0.749 0.747 0.831
Cd 0.435 0.500 0.500
Cd 0.565 0.000 0.000

---

(3)
Below is crystalline Cd2PdAu4 at its relaxed geometry, with properties calculated at the PBE-GGA level.

Values from the calculation:
Total moment ... 0.0 μB per formula unit
Crystal system ... tetragonal
Energy of formation ... 0.0779 eV/atom
DOS at the Fermi energy ... 1.700 states/eV/f.u.
Space-group type ... I4/mmm

abc: 5.256 5.256 6.542
angles: 113.68 113.68 90.00
Sites, in units of the cell vectors:
Pd 0.000 0.000 0.000
Au 0.750 0.250 0.500
Au 0.000 0.500 0.000
Au 0.500 0.000 0.000
Au 0.250 0.750 0.500
Cd 0.646 0.646 0.292
Cd 0.354 0.354 0.708

---

(4)
Below is crystalline CdPd6Au8 at its relaxed geometry, with properties calculated at the PBE-GGA level.

Values from the calculation:
Total moment ... 0.0 μB per formula unit
Crystal system ... trigonal
Energy of formation ... 0.0078 eV/atom
DOS at the Fermi energy ... 6.538 states/eV/f.u.
Energy relative to the lowest polymorph listed for this composition ... 5 meV per atom
Space-group type ... P-3

abc: 5.524 7.708 7.708
angles: 120.00 90.00 90.00
Sites, in units of the cell vectors:
Au 0.133 0.684 0.020
Au 0.133 0.980 0.664
Au 0.867 0.020 0.336
Au 0.867 0.316 0.980
Au 0.606 0.333 0.667
Au 0.394 0.667 0.333
Au 0.133 0.336 0.316
Au 0.867 0.664 0.684
Pd 0.640 0.972 0.647
Pd 0.640 0.676 0.028
Pd 0.360 0.324 0.972
Pd 0.360 0.647 0.676
Pd 0.360 0.028 0.353
Pd 0.640 0.353 0.324
Cd 0.500 0.000 0.000

---

(5)
Below is crystalline Cd7PdAu2 at its relaxed geometry, with properties calculated at the PBE-GGA level.

Values from the calculation:
Total moment ... 0.0 μB per formula unit
Crystal system ... trigonal
Energy of formation ... -0.1734 eV/atom
DOS at the Fermi energy ... 2.815 states/eV/f.u.
Space-group type ... P3m1

abc: 4.691 4.691 11.569
angles: 90.00 90.00 120.00
Sites, in units of the cell vectors:
Pd 0.000 0.000 0.003
Cd 0.667 0.333 0.592
Cd 0.333 0.667 0.978
Cd 0.333 0.667 0.432
Cd 0.000 0.000 0.252
Cd 0.667 0.333 0.112
Cd 0.667 0.333 0.860
Cd 0.000 0.000 0.752
Au 0.667 0.333 0.351
Au 0.333 0.667 0.685

---

(6)
Below is crystalline Cd5Pd6Au at its relaxed geometry, with properties calculated at the PBE-GGA level.

Values from the calculation:
Total moment ... 0.0 μB per formula unit
Crystal system ... orthorhombic
Energy of formation ... -0.3661 eV/atom
DOS at the Fermi energy ... 3.004 states/eV/f.u.
Space-group type ... Immm

abc: 4.756 8.116 8.116
angles: 122.75 107.04 107.04
Sites, in units of the cell vectors:
Cd 0.500 0.500 0.500
Cd 0.500 0.165 0.835
Cd 0.000 0.666 0.334
Cd 0.500 0.835 0.165
Cd 0.000 0.334 0.666
Pd 0.750 0.250 0.250
Pd 0.750 0.918 0.583
Pd 0.250 0.417 0.082
Pd 0.250 0.082 0.417
Pd 0.750 0.583 0.918
Pd 0.250 0.750 0.750
Au 0.000 0.000 0.000

---

(7)
Below is crystalline CdPd3Au at its relaxed geometry, with properties calculated at the PBE-GGA level.

Values from the calculation:
Total moment ... 0.0 μB per formula unit
Crystal system ... triclinic
Energy of formation ... -0.2421 eV/atom
DOS at the Fermi energy ... 2.003 states/eV/f.u.
Energy relative to the lowest polymorph listed for this composition ... 0 meV per atom
Space-group type ... P-1

abc: 4.901 4.886 7.641
angles: 85.11 108.69 105.66
Sites, in units of the cell vectors:
Pd 0.462 0.844 0.206
Pd 0.764 0.345 0.809
Pd 0.061 0.844 0.405
Pd 0.262 0.844 0.805
Pd 0.564 0.344 0.409
Pd 0.964 0.344 0.210
Au 0.865 0.845 0.012
Au 0.160 0.344 0.602
Cd 0.661 0.844 0.604
Cd 0.365 0.344 0.011

---

(8)
Below is crystalline Cd2PdAu3 at its relaxed geometry, with properties calculated at the PBE-GGA level.

Values from the calculation:
Total moment ... 0.0 μB per formula unit
Crystal system ... orthorhombic
Energy of formation ... -0.2078 eV/atom
DOS at the Fermi energy ... 1.926 states/eV/f.u.
Energy relative to the lowest polymorph listed for this composition ... 0 meV per atom
Space-group type ... Cmmm

abc: 4.174 8.300 7.858
angles: 121.88 105.40 90.00
Sites, in units of the cell vectors:
Cd 0.340 0.340 0.680
Cd 0.660 0.660 0.320
Cd 0.340 0.840 0.680
Cd 0.660 0.160 0.320
Au 0.165 0.915 0.330
Au 0.835 0.085 0.670
Au 0.500 0.250 0.000
Au 0.165 0.415 0.330
Au 0.835 0.585 0.670
Au 0.500 0.750 0.000
Pd 0.000 0.000 0.000
Pd 0.000 0.500 0.000

---

(9)
Below is crystalline Cd2Pd2Au3 at its relaxed geometry, with properties calculated at the PBE-GGA level.

Values from the calculation:
Total moment ... 0.0 μB per formula unit
Crystal system ... monoclinic
Energy of formation ... -0.1031 eV/atom
DOS at the Fermi energy ... 1.814 states/eV/f.u.
Energy relative to the lowest polymorph listed for this composition ... 74 meV per atom
Space-group type ... P2/m

abc: 4.144 2.878 11.264
angles: 90.00 100.54 90.00
Sites, in units of the cell vectors:
Pd 0.433 0.500 0.867
Pd 0.567 0.500 0.133
Au 0.291 0.000 0.582
Au 0.000 0.000 0.000
Au 0.709 0.000 0.418
Cd 0.128 0.000 0.255
Cd 0.872 0.000 0.745

---

(10)
Below is crystalline Cd2Pd7Au2 at its relaxed geometry, with properties calculated at the PBE-GGA level.

Values from the calculation:
Total moment ... 0.0 μB per formula unit
Crystal system ... orthorhombic
Energy of formation ... -0.1198 eV/atom
DOS at the Fermi energy ... 6.673 states/eV/f.u.
Energy relative to the lowest polymorph listed for this composition ... 0 meV per atom
Space-group type ... Imm2

abc: 4.010 7.824 7.542
angles: 121.25 105.42 90.00
Sites, in units of the cell vectors:
Pd 0.339 0.463 0.678
Pd 0.837 0.205 0.674
Pd 0.163 0.530 0.326
Pd 0.167 0.046 0.334
Pd 0.833 0.712 0.666
Pd 0.500 0.896 0.000
Pd 0.661 0.785 0.322
Cd 0.000 0.637 0.000
Cd 0.500 0.341 0.000
Au 0.325 0.945 0.650
Au 0.675 0.295 0.350

---

(11)
Below is crystalline Cd3Pd4Au at its relaxed geometry, with properties calculated at the PBE-GGA level.

Values from the calculation:
Total moment ... 0.0 μB per formula unit
Crystal system ... orthorhombic
Energy of formation ... -0.3605 eV/atom
DOS at the Fermi energy ... 2.016 states/eV/f.u.
Energy relative to the lowest polymorph listed for this composition ... 0 meV per atom
Space-group type ... Pmmm

abc: 3.772 4.274 8.563
angles: 90.00 90.00 90.00
Sites, in units of the cell vectors:
Cd 0.500 0.000 0.756
Cd 0.500 0.500 0.500
Cd 0.500 0.000 0.244
Pd 0.000 0.500 0.749
Pd 0.000 0.500 0.251
Pd 0.000 0.000 0.000
Pd 0.000 0.000 0.500
Au 0.500 0.500 0.000

---

(12)
Below is crystalline Cd8PdAu2 at its relaxed geometry, with properties calculated at the PBE-GGA level.

Values from the calculation:
Total moment ... 0.0 μB per formula unit
Crystal system ... orthorhombic
Energy of formation ... -0.1750 eV/atom
DOS at the Fermi energy ... 2.685 states/eV/f.u.
Energy relative to the lowest polymorph listed for this composition ... 0 meV per atom
Space-group type ... Immm

abc: 4.547 7.696 7.857
angles: 119.33 106.82 90.00
Sites, in units of the cell vectors:
Au 0.193 0.693 0.386
Au 0.807 0.307 0.614
Cd 0.000 0.703 0.000
Cd 0.350 0.127 0.700
Cd 0.000 0.297 0.000
Cd 0.850 0.850 0.700
Cd 0.350 0.573 0.700
Cd 0.650 0.427 0.300
Cd 0.150 0.150 0.300
Cd 0.650 0.873 0.300
Pd 0.500 0.000 0.000